Entry 1:
Here is Tm3Tl2Ga after structural relaxation from Alexandria via LeMat-Bulk. Energies are from GGA-PBE.

abc: 3.570 3.570 11.799
angles: 90.00 90.00 90.00
Positions (direct):
Tm  0.000  0.000  0.000
Tm  0.000  0.000  0.350
Tm  0.000  0.000  0.650
Tl  0.500  0.500  0.173
Tl  0.500  0.500  0.827
Ga  0.500  0.500  0.500

Computed properties:
E_form, eV per atom: -0.385

***

Entry 2:
Here is Tm5Tl2Ga2 after structural relaxation from Alexandria via LeMat-Bulk. Energies are from GGA-PBE.

abc: 8.853 8.853 7.597
angles: 90.00 90.00 51.32
Positions (direct):
Tm  0.000  0.000  0.000
Tm  0.056  0.688  0.678
Tm  0.188  0.556  0.178
Tm  0.312  0.944  0.678
Tm  0.444  0.812  0.178
Tm  0.500  0.500  0.500
Tm  0.556  0.188  0.822
Tm  0.688  0.056  0.322
Tm  0.812  0.444  0.822
Tm  0.944  0.312  0.322
Tl  0.221  0.221  0.000
Tl  0.279  0.279  0.500
Tl  0.721  0.721  0.500
Tl  0.779  0.779  0.000
Ga  0.120  0.880  0.379
Ga  0.380  0.620  0.879
Ga  0.620  0.380  0.121
Ga  0.880  0.120  0.621

Computed properties:
E_form, eV per atom: -0.436

***

Entry 3:
Here is Tm12Tl5Ga2 after structural relaxation from Alexandria via LeMat-Bulk. Energies are from GGA-PBE.

abc: 9.218 9.218 8.932
angles: 95.44 95.44 44.64
Positions (direct):
Tm  0.001  0.001  0.196
Tm  0.095  0.603  0.982
Tm  0.099  0.589  0.570
Tm  0.397  0.905  0.018
Tm  0.411  0.901  0.430
Tm  0.466  0.466  0.316
Tm  0.534  0.534  0.684
Tm  0.589  0.099  0.570
Tm  0.603  0.095  0.982
Tm  0.901  0.411  0.430
Tm  0.905  0.397  0.018
Tm  0.999  0.999  0.804
Tl  0.203  0.203  0.740
Tl  0.276  0.276  0.252
Tl  0.500  0.500  0.000
Tl  0.724  0.724  0.748
Tl  0.797  0.797  0.260
Ga  0.174  0.826  0.500
Ga  0.826  0.174  0.500

Computed properties:
E_form, eV per atom: -0.183

***

Entry 4:
Here is Tm3Tl2Ga2 after structural relaxation from Alexandria via LeMat-Bulk. Energies are from GGA-PBE.

abc: 11.191 11.191 3.593
angles: 90.00 90.00 158.28
Positions (direct):
Tm  0.000  0.000  0.000
Tm  0.168  0.832  0.000
Tm  0.832  0.168  0.000
Tl  0.420  0.580  0.500
Tl  0.580  0.420  0.500
Ga  0.283  0.717  0.500
Ga  0.717  0.283  0.500

Computed properties:
E_form, eV per atom: -0.440

***

Entry 5:
Here is TmTlGa after structural relaxation from Alexandria via LeMat-Bulk. Energies are from GGA-PBE.

abc: 4.631 4.631 3.828
angles: 90.00 90.00 120.00
Positions (direct):
Tm  0.000  0.000  0.000
Tl  0.333  0.667  0.588
Ga  0.667  0.333  0.350

Computed properties:
E_form, eV per atom: -0.274

***

Entry 6:
Here is UTlGa2 after structural relaxation from Alexandria via LeMat-Bulk. Energies are from GGA-PBE.

abc: 10.874 10.874 10.874
angles: 16.29 16.29 16.29
Positions (direct):
U  0.000  0.000  0.000
Tl  0.500  0.500  0.500
Ga  0.412  0.412  0.412
Ga  0.588  0.588  0.588

Computed properties:
E_form, eV per atom: 0.117

***

Entry 7:
Here is UTlGa4 after structural relaxation from Alexandria via LeMat-Bulk. Energies are from GGA-PBE.

abc: 5.608 5.608 5.608
angles: 60.00 60.00 60.00
Positions (direct):
U  0.000  0.000  0.000
Tl  0.750  0.750  0.750
Ga  0.374  0.374  0.374
Ga  0.374  0.374  0.877
Ga  0.374  0.877  0.374
Ga  0.877  0.374  0.374

Computed properties:
E_form, eV per atom: 0.087

***

Entry 8:
Here is UTlGa2 after structural relaxation from Alexandria via LeMat-Bulk. Energies are from GGA-PBE.

abc: 4.547 4.547 4.226
angles: 90.00 90.00 90.00
Positions (direct):
U  0.000  0.000  0.000
Tl  0.500  0.500  0.000
Ga  0.000  0.500  0.500
Ga  0.500  0.000  0.500

Computed properties:
E_form, eV per atom: -0.011

***

What are the Fermi-level density of states values for these records? In order: 2.72 11.48 17.81 3.34 1.13 5.84 6.22 5.17 states/eV/cell.